DFT (PBE) results for crystalline CsMg2Ni at its relaxed geometry.

Cell: 7.761 7.761 10.943 Å, 90.00 90.00 90.00°
Space group I4_1/amd (No. 141, origin choice 2)
Inequivalent atoms, fractional coordinates:
1 Cs 0.000 0.250 0.375 [4 per cell]
2 Mg 0.000 0.000 0.000 [8 per cell]
3 Ni 0.000 0.250 0.875 [4 per cell]

Calculated values
ΔE to the lowest computed polymorph ... 0.000 eV/f.u.